The following is a DFT calculation (PBE) of Ca2HgBi2 after structural relaxation.

Summary:
ΔE_f in eV/atom: -0.5958
Space-group type: No. 14

Cell lengths 8.3638, 8.2059, 9.3799 Å; angles 90.00, 89.94, 90.00 degrees
Closest atoms and distances in Å follow each position.
Element x y z (fractional)
1 Ca 0.4998 0.2493 0.1021  6 Bi 3.25-3.44
2 Ca 0.9998 0.2507 0.1021  6 Bi 3.25-3.44
3 Ca 0.0002 0.7493 0.8979  6 Bi 3.25-3.44
4 Ca 0.5002 0.7507 0.8979  6 Bi 3.25-3.44
5 Ca 0.9995 0.7491 0.3554  4 Bi 3.30-3.35, 4 Hg 3.43-3.52
6 Ca 0.4995 0.7509 0.3554  4 Bi 3.30-3.35, 4 Hg 3.43-3.52
7 Ca 0.5005 0.2491 0.6446  4 Bi 3.30-3.35, 4 Hg 3.43-3.52
8 Ca 0.0005 0.2509 0.6446  4 Bi 3.30-3.35, 4 Hg 3.43-3.52
9 Hg 0.2517 0.4087 0.3905  3 Bi 2.92-2.95
10 Hg 0.7483 0.5913 0.6095  3 Bi 2.92-2.95
11 Hg 0.7517 0.0913 0.3905  3 Bi 2.92-2.95
12 Hg 0.2483 0.9087 0.6095  3 Bi 2.92-2.95
13 Bi 0.7502 0.9187 0.1180  1 Hg 2.92, 2 Ca 3.25
14 Bi 0.2502 0.5813 0.1180  1 Hg 2.92, 2 Ca 3.25
15 Bi 0.7498 0.4187 0.8820  1 Hg 2.92, 2 Ca 3.25
16 Bi 0.2498 0.0813 0.8820  1 Hg 2.92, 2 Ca 3.25
17 Bi 0.7489 0.4414 0.3237  2 Hg 2.94-2.95
18 Bi 0.2489 0.0586 0.3237  2 Hg 2.94-2.95
19 Bi 0.7511 0.9414 0.6763  2 Hg 2.94-2.95
20 Bi 0.2511 0.5586 0.6763  2 Hg 2.94-2.95